(1)
This record from Alexandria via LeMat-Bulk describes a PBEsol-optimized structure of PBr2Cl. The functional is SCAN.

Computed properties:
**Excess energy over the best structure of this formula in the dataset**: 0.000 eV per atom
**Electronic total energy**: -14.6175 eV/atom

abc: 3.6030 6.2308 6.3691
angles: 114.29 106.43 90.00
Last column: nearest neighbours and their distance in Å.
Fractional coordinates of all 4 atoms:
Br: 0.0015 0.9480 0.0029  1 P 2.21
Br: 0.7757 0.1509 0.5514  2 P 2.58
Cl: 0.5692 0.5555 0.1385  2 P 2.44
P: 0.1536 0.8456 0.3072  1 Br 2.21, 2 Cl 2.44

(2)
This record from Alexandria via LeMat-Bulk describes a PBEsol-optimized structure of PBrCl2. The functional is SCAN.

Computed properties:
**Excess energy over the best structure of this formula in the dataset**: 1.010 eV per atom
**Electronic total energy**: -10.8656 eV/atom

abc: 3.2463 5.2725 5.2725
angles: 92.22 90.29 90.29
Last column: nearest neighbours and their distance in Å.
Fractional coordinates of all 4 atoms:
Br: 0.0000 0.0000 0.0000  4 Cl 2.64
Cl: 0.0000 0.5000 0.0000  2 Br 2.64, 2 P 2.64
Cl: 0.0000 0.0000 0.5000  2 P 2.64, 2 Br 2.64
P: 0.0000 0.5000 0.5000  4 Cl 2.64

(3)
This record from Alexandria via LeMat-Bulk describes a PBEsol-optimized structure of PBr2Cl. The functional is SCAN.

Computed properties:
**Excess energy over the best structure of this formula in the dataset**: 0.464 eV per atom
**Electronic total energy**: -14.1539 eV/atom

abc: 3.2858 5.5328 6.3625
angles: 115.77 104.96 90.00
Last column: nearest neighbours and their distance in Å.
Fractional coordinates of all 4 atoms:
P: 0.2478 0.7478 0.4956  2 Cl 2.41, 2 Br 2.51
Br: 0.7442 0.2442 0.4884  4 P 3.22, 2 Cl 3.26, 4 Br 3.29-3.37
Br: 0.9202 0.9202 0.8404  2 P 2.51
Cl: 0.5878 0.5878 0.1756  2 P 2.41

(4)
This record from Alexandria via LeMat-Bulk describes a PBEsol-optimized structure of PBrCl2. The functional is SCAN.

Computed properties:
**Excess energy over the best structure of this formula in the dataset**: 0.000 eV per atom
**Electronic total energy**: -11.8758 eV/atom

abc: 3.5656 6.0630 6.6775
angles: 110.51 90.00 90.00
Last column: nearest neighbours and their distance in Å.
Fractional coordinates of all 4 atoms:
P: 0.0000 0.4439 0.4211  1 Cl 2.03
Cl: 0.0000 0.1292 0.1768  1 P 2.03
Cl: 0.5000 0.6046 0.2635  2 P 2.44
Br: 0.5000 0.3223 0.6386  2 P 2.57

(5)
This record from Alexandria via LeMat-Bulk describes a PBEsol-optimized structure of P3BrCl14. The functional is SCAN.

Computed properties:
**Electronic total energy**: -9.6802 eV/atom

abc: 8.6366 8.6366 8.6366
angles: 91.92 118.90 118.90
Last column: nearest neighbours and their distance in Å.
Fractional coordinates of all 18 atoms:
Cl: 0.3624 0.4798 0.1991  1 P 1.96
Cl: 0.6378 0.5243 0.8050  1 P 1.96
Cl: 0.1112 0.3930 0.7219  1 P 2.16
Cl: 0.2808 0.1174 0.4798  1 P 1.96
Cl: 0.3289 0.7219 0.6107  1 P 2.16
Cl: 0.7193 0.8866 0.5243  1 P 1.96
Cl: 0.6711 0.2818 0.3930  1 P 2.16
Cl: 0.8888 0.6107 0.2818  1 P 2.16
Cl: 0.2807 0.8050 0.1673  1 P 1.96
Cl: 0.6376 0.8366 0.1174  1 P 1.96
Cl: 0.0000 0.6800 0.6800  1 P 2.14
Cl: 0.3622 0.1673 0.8866  1 P 1.96
Cl: 0.0000 0.3238 0.3238  1 P 2.14
Cl: 0.7192 0.1991 0.8366  1 P 1.96
P: 0.5000 0.2521 0.7521  4 Cl 1.96
P: 0.0000 0.5019 0.5019  6 Cl 2.14-2.16
P: 0.5000 0.7521 0.2521  4 Cl 1.96
Br: 0.0000 0.0014 0.0014  8 Cl 3.40-3.41

(6)
This record from Alexandria via LeMat-Bulk describes a PBEsol-optimized structure of PBrCl4. The functional is SCAN.

Computed properties:
**Electronic total energy**: -9.1960 eV/atom

abc: 5.5776 5.5776 5.5776
angles: 60.00 60.00 60.00
Last column: nearest neighbours and their distance in Å.
Fractional coordinates of all 6 atoms:
Cl: 0.3752 0.3752 0.3752  6 Cl 2.78-2.79
Cl: 0.3752 0.3752 0.8743  6 Cl 2.78-2.79
Cl: 0.3752 0.8743 0.3752  6 Cl 2.78-2.79
Cl: 0.8743 0.3752 0.3752  6 Cl 2.78-2.79
Br: 0.0000 0.0000 0.0000  12 Cl 3.27, 4 P 3.42
P: 0.7500 0.7500 0.7500  12 Cl 3.27, 4 Br 3.42